DFT (GGA-PBEsol) results for crystalline CaCrPN2 at its relaxed geometry.

Cell lengths 3.8023, 3.8023, 4.9518 Å; angles 90.00, 90.00, 90.00 degrees
Each line ends with the local moment (μB).
Positions (direct):
Cr1 0.5000 0.5000 0.5000  4.08
Ca1 0.0000 0.0000 0.5000  0.14
N1 0.0000 0.5000 0.0000  -0.13
N2 0.5000 0.0000 0.0000  -0.13
P1 0.0000 0.0000 0.0000  0.01

Properties
- energy relative to the elements, uncorrected (eV/atom) = 1.44
- DOS(E_F) (states/eV/atom) = 0.531
- density (kg/m3) = 3504

---

DFT (GGA-PBEsol) results for crystalline TcNiPt3 at its relaxed geometry.

Cell lengths 4.4421, 4.4421, 4.4421 Å; angles 90.00, 90.00, 90.00 degrees
Each line ends with the local moment (μB).
Positions (direct):
Ni1 0.0000 0.0000 0.0000  0.23
Tc1 0.5000 0.5000 0.5000  3.10
Pt1 0.0000 0.5000 0.0000  0.21
Pt2 0.0000 0.0000 0.5000  0.21
Pt3 0.5000 0.0000 0.0000  0.21

Properties
- formation energy from the elements (kJ/mol of formula units) = 676.7
- DOS(E_F) (states/eV/atom) = 1.675
- density (kg/m3) = 14056

---

DFT (GGA-PBEsol) results for crystalline Co2PbSeCl at its relaxed geometry.

Cell lengths 5.0126, 5.0126, 5.2133 Å; angles 90.00, 90.00, 90.00 degrees
Each line ends with the local moment (μB).
Positions (direct):
Pb1 0.0000 0.0000 0.0000  -0.05
Co1 0.0000 0.5000 0.0000  2.00
Co2 0.5000 0.0000 0.0000  2.00
Se1 0.0000 0.0000 0.5000  -0.04
Cl1 0.5000 0.5000 0.5000  0.15

Properties
- energy relative to the elements, uncorrected (eV/atom) = 1.42
- DOS(E_F) (states/eV/atom) = 2.087
- density (kg/m3) = 5571